(1)
DFT (PBE) results for an optimized crystal structure of LaTl2F.

As for the volume: 29.69 A^3/atom. For the uncorrected formation energy, the calculation gives -1.158 eV per atom. Its polymorph energy (0 for the lowest one) is 0 meV/atom. As for the magnetic moment: 0.00 μB/f.u.

It has space group I-42d (No. 122), with a = 10.0397 Å, b = 10.0397 Å, c = 4.7123 Å, α = 90.00°, β = 90.00° and γ = 90.00°. Symmetry generates all atoms from La at (0.0000, 0.0000, 0.0000), Tl at (0.1570, 0.2500, 0.6250) and F at (0.0000, 0.0000, 0.5000).

***

(2)
DFT (PBE) results for an optimized crystal structure of TiCrPdRh2.

As for the volume: 17.12 A^3/atom. The formation energy is 0.5724 eV/atom. As for the magnetic moment: 0.00 μB/f.u.

It has space group P4/mmm (No. 123), with a = 4.3940 Å, b = 4.3940 Å, c = 4.4333 Å, α = 90.00°, β = 90.00° and γ = 90.00°. Symmetry generates all atoms from Ti at (0.0000, 0.0000, 0.0000), Cr at (0.0000, 0.0000, 0.5000), Pd at (0.5000, 0.5000, 0.0000) and Rh at (0.0000, 0.5000, 0.5000).

***

(3)
DFT (PBE) results for an optimized crystal structure of CsTe2PbAu.

As for the volume: 41.96 A^3/atom. For the uncorrected formation energy, the calculation gives -0.528 eV per atom. As for the magnetic moment: 0.00 μB/f.u.

It has space group Cmme (No. 67), with a = 7.7125 Å, b = 16.4633 Å, c = 6.6088 Å, α = 90.00°, β = 90.00° and γ = 90.00°. Symmetry generates all atoms from Cs at (0.0000, 0.2500, 0.2385), Te at (0.0000, 0.1214, 0.7441), Pb at (0.2500, 0.0000, 0.5000) and Au at (0.0000, 0.0000, 0.0000).

***

(4)
DFT (PBE) results for an optimized crystal structure of BiSb3I.

As for the volume: 37.77 A^3/atom. For the uncorrected formation energy, the calculation gives 1.045 eV per atom. Its polymorph energy (0 for the lowest one) is 180 meV/atom. As for the magnetic moment: 0.00 μB/f.u.

It has space group Pm-3m (No. 221), with a = 5.7370 Å, b = 5.7370 Å, c = 5.7370 Å, α = 90.00°, β = 90.00° and γ = 90.00°. Symmetry generates all atoms from Bi at (0.0000, 0.0000, 0.0000), Sb at (0.0000, 0.5000, 0.5000) and I at (0.5000, 0.5000, 0.5000).

***

Question: Which formula does entry 4 have?
Answer: BiSb3I